No. 1
A plane-wave DFT calculation with PBE-GGA was carried out for CdGa2Se4 after structural relaxation.

abc: 5.8277 5.8575 6.8159
angles: 115.24 115.09 90.13
Closest atoms and distances in Å follow each position.
Space group P1 (No. 1)
Inequivalent atoms, fractional coordinates:
Cd 0.0000 0.0000 0.0000 x1  4 Se 2.68-2.69
Ga 0.2514 0.7489 0.4993 x1  4 Se 2.46
Ga 0.5011 0.4969 0.9985 x1  4 Se 2.45
Se 0.1207 0.5845 0.7220 x1  2 Ga 2.45-2.46, 1 Cd 2.69
Se 0.4163 0.3960 0.2790 x1  2 Ga 2.45-2.46, 1 Cd 2.68
Se 0.6033 0.1346 0.7183 x1  2 Ga 2.45-2.46, 1 Cd 2.68
Se 0.8639 0.8781 0.2787 x1  2 Ga 2.45-2.46, 1 Cd 2.68

## Properties
Electronic total energy in eV per atom: -3.613


No. 2
A plane-wave DFT calculation with PBE-GGA was carried out for SrAlTc after structural relaxation.

abc: 7.0814 7.0814 7.0814
angles: 90.00 90.00 90.00
Closest atoms and distances in Å follow each position.
Space group F-43m (No. 216)
Inequivalent atoms, fractional coordinates:
Sr 0.0000 0.0000 0.0000 x4  4 Al 3.07, 4 Tc 3.07
Al 0.2500 0.2500 0.7500 x4  4 Sr 3.07
Tc 0.2500 0.2500 0.2500 x4  4 Sr 3.07

## Properties
Energy relative to the lowest polymorph listed for this composition in eV per atom: 0.829
Electronic total energy in eV per atom: -3.699


No. 3
A plane-wave DFT calculation with PBE-GGA was carried out for BaMg2ZnGe after structural relaxation.

abc: 4.6194 4.6194 11.9431
angles: 90.00 90.00 90.00
Closest atoms and distances in Å follow each position.
Space group I4mm (No. 107)
Inequivalent atoms, fractional coordinates:
Ba 0.0000 0.0000 0.0000 x2  4 Ge 3.51, 4 Zn 3.53, 8 Mg 3.71-3.84
Mg 0.0000 0.5000 0.2568 x4  2 Ge 2.82, 2 Zn 2.88
Zn 0.0000 0.0000 0.6126 x2  1 Ge 2.63, 4 Mg 2.88
Ge 0.0000 0.0000 0.3924 x2  1 Zn 2.63, 4 Mg 2.82

## Properties
Electronic total energy in eV per atom: -2.529


No. 4
A plane-wave DFT calculation with PBE-GGA was carried out for Pm3Y2Ho after structural relaxation.

abc: 10.8403 6.2577 11.6161
angles: 90.00 90.00 90.00
Closest atoms and distances in Å follow each position.
Space group Cmcm (No. 63)
Inequivalent atoms, fractional coordinates:
Pm 0.0000 0.0000 0.0000 x4  4 Y 3.58, 2 Ho 3.58, 6 Pm 3.61-3.62
Pm 0.1657 0.5000 0.0000 x8  2 Ho 3.57, 4 Y 3.58, 6 Pm 3.59-3.62
Y 0.1666 0.1666 0.2500 x8  6 Pm 3.58, 3 Ho 3.61, 3 Y 3.61
Ho 0.0000 0.3335 0.7500 x4  6 Pm 3.57-3.58, 6 Y 3.61

## Properties
Formation energy from the elements in eV/f.u.: -0.03
Electronic total energy in eV per atom: -5.295


No. 5
A plane-wave DFT calculation with PBE-GGA was carried out for DyBr3 after structural relaxation.

abc: 6.8464 6.8464 19.0749
angles: 90.00 90.00 120.00
Closest atoms and distances in Å follow each position.
Space group R-3c (No. 167, hexagonal axes)
Inequivalent atoms, fractional coordinates:
Dy 0.0000 0.0000 0.0000 x6  6 Br 2.80
Br 0.0000 0.3251 0.2500 x18  2 Dy 2.80

## Properties
Electronic total energy in eV per atom: -4.216


No. 6
A plane-wave DFT calculation with PBE-GGA was carried out for LuThSi after structural relaxation.

abc: 6.8662 6.8662 6.8662
angles: 90.00 90.00 90.00
Closest atoms and distances in Å follow each position.
Space group F-43m (No. 216)
Inequivalent atoms, fractional coordinates:
Lu 0.0000 0.0000 0.0000 x4  4 Si 2.97
Th 0.0000 0.0000 0.5000 x4  4 Si 2.97
Si 0.2500 0.2500 0.2500 x4  4 Th 2.97, 4 Lu 2.97

## Properties
Energy relative to the lowest polymorph listed for this composition in eV per atom: 0.000
Electronic total energy in eV per atom: -6.091


No. 7
A plane-wave DFT calculation with PBE-GGA was carried out for TmNbN2O after structural relaxation.

abc: 7.7756 5.4538 5.7551
angles: 90.00 90.00 90.00
Closest atoms and distances in Å follow each position.
Space group Pmc2_1 (No. 26)
Inequivalent atoms, fractional coordinates:
Tm 0.0000 0.2435 0.0000 x2  2 O 2.23, 2 N 2.27-2.42
Tm 0.5000 0.2501 0.1274 x2  4 N 2.21-2.35
Nb 0.2568 0.2660 0.5779 x4  4 N 1.95-2.06, 1 O 2.08
N 0.0000 0.3509 0.5917 x2  2 Nb 2.05, 1 Tm 2.27
N 0.3056 0.4356 0.8693 x4  2 Nb 1.95-2.06
N 0.5000 0.1348 0.5059 x2  2 Nb 2.06, 2 Tm 2.21-2.27
O 0.1927 0.0664 0.2334 x4  2 Nb 2.08-2.32, 1 Tm 2.23

## Properties
Electronic total energy in eV per atom: -9.032


No. 8
A plane-wave DFT calculation with PBE-GGA was carried out for DyHoIn4Ir2 after structural relaxation.

abc: 8.0595 4.3073 10.1773
angles: 90.00 90.00 90.00
Closest atoms and distances in Å follow each position.
Space group Amm2 (No. 38)
Inequivalent atoms, fractional coordinates:
Dy 0.0000 0.0000 0.0000 x2  3 Ir 2.99-3.01, 6 In 3.32-3.33
Ho 0.5000 0.0000 0.8562 x2  3 Ir 2.99-3.01, 6 In 3.31-3.32
In 0.2006 0.0000 0.2859 x4  3 Ir 2.78-2.81, 1 In 3.01
In 0.3000 0.0000 0.5705 x4  3 Ir 2.79-2.81, 1 In 3.01
Ir 0.0000 0.0000 0.7065 x2  6 In 2.79-2.81, 3 Dy 2.99-3.01
Ir 0.5000 0.0000 0.1499 x2  6 In 2.78-2.81, 3 Ho 2.99-3.01

## Properties
Electronic total energy in eV per atom: -5.269


No. 9
A plane-wave DFT calculation with PBE-GGA was carried out for KNaZnGe after structural relaxation.

abc: 5.7998 9.9776 7.7618
angles: 90.00 90.00 90.00
Closest atoms and distances in Å follow each position.
Space group Amm2 (No. 38)
Inequivalent atoms, fractional coordinates:
K 0.0000 0.1740 0.0000 x4  4 Ge 3.38-3.49, 1 K 3.47, 4 Zn 3.64-3.71, 4 Na 3.66-3.68
Na 0.5000 0.1704 0.7116 x4  4 Ge 3.37-3.56, 1 Na 3.40, 2 Zn 3.48, 4 K 3.66-3.68
Zn 0.2499 0.0000 0.3671 x4  2 Ge 2.44
Ge 0.0000 0.0000 0.6207 x2  2 Zn 2.44
Ge 0.5000 0.0000 0.1142 x2  2 Zn 2.44

## Properties
Energy relative to the lowest polymorph listed for this composition in eV per atom: 0.019
Electronic total energy in eV per atom: -2.193


No. 10
A plane-wave DFT calculation with PBE-GGA was carried out for GdErAl4Fe2 after structural relaxation.

abc: 7.0469 4.0430 10.0941
angles: 90.00 90.00 90.00
Closest atoms and distances in Å follow each position.
Space group Amm2 (No. 38)
Inequivalent atoms, fractional coordinates:
Gd 0.0000 0.0000 0.0000 x2  3 Fe 2.77-3.04
Er 0.5000 0.0000 0.8761 x2  3 Fe 2.78-3.03, 4 Al 3.10
Al 0.1953 0.0000 0.2818 x4  3 Fe 2.51-2.52, 1 Al 2.75
Al 0.3085 0.0000 0.5948 x4  3 Fe 2.50-2.54, 1 Al 2.70
Fe 0.0000 0.0000 0.7251 x2  6 Al 2.51-2.54, 1 Gd 2.77
Fe 0.5000 0.0000 0.1520 x2  6 Al 2.50-2.52, 1 Er 2.78

## Properties
Electronic total energy in eV per atom: -5.461


No. 11
A plane-wave DFT calculation with PBE-GGA was carried out for KBaGdSe3 after structural relaxation.

abc: 4.3986 20.3680 12.3141
angles: 90.00 90.00 90.00
Closest atoms and distances in Å follow each position.
Space group Cmcm (No. 63)
Inequivalent atoms, fractional coordinates:
K 0.0000 0.1122 0.2500 x4  4 Se 3.09-3.24
Ba 0.0000 0.1125 0.7500 x4  4 Se 3.10-3.11
Gd 0.0000 0.5000 0.0000 x4  6 Se 2.94-3.08
Se 0.0000 0.0959 0.0003 x8  2 Gd 2.94, 1 K 3.09, 1 Ba 3.10
Se 0.0000 0.4953 0.2500 x4  2 Gd 3.08, 2 Ba 3.11, 2 K 3.24

## Properties
Electronic total energy in eV per atom: -4.595


No. 12
A plane-wave DFT calculation with PBE-GGA was carried out for KNdHgSe3 after structural relaxation.

abc: 18.7768 4.3314 9.2899
angles: 90.00 103.65 90.00
Closest atoms and distances in Å follow each position.
Space group C2/m (No. 12)
Inequivalent atoms, fractional coordinates:
K 0.1383 0.0000 0.0697 x4  7 Se 3.32-3.51
Nd 0.1723 0.0000 0.5847 x4  6 Se 2.92-3.14
Hg 0.0192 0.5000 0.7228 x4  4 Se 2.68-2.96
Se 0.0000 0.0000 0.5000 x2  4 Hg 2.96, 2 Nd 3.14
Se 0.0000 0.5000 0.0000 x2  2 Hg 2.68
Se 0.1681 0.5000 0.3647 x4  3 Nd 2.92-2.97
Se 0.1702 0.5000 0.8012 x4  1 Hg 2.76, 2 Nd 2.96

## Properties
Electronic total energy in eV per atom: -3.898


What is the electronic total energy in the eleventh record? -4.595 eV per atom


What did the first record say?
A plane-wave DFT calculation with PBE-GGA was carried out for CdGa2Se4 after structural relaxation.

abc: 5.8277 5.8575 6.8159
angles: 115.24 115.09 90.13
Closest atoms and distances in Å follow each position.
Space group P1 (No. 1)
Inequivalent atoms, fractional coordinates:
Cd 0.0000 0.0000 0.0000 x1  4 Se 2.68-2.69
Ga 0.2514 0.7489 0.4993 x1  4 Se 2.46
Ga 0.5011 0.4969 0.9985 x1  4 Se 2.45
Se 0.1207 0.5845 0.7220 x1  2 Ga 2.45-2.46, 1 Cd 2.69
Se 0.4163 0.3960 0.2790 x1  2 Ga 2.45-2.46, 1 Cd 2.68
Se 0.6033 0.1346 0.7183 x1  2 Ga 2.45-2.46, 1 Cd 2.68
Se 0.8639 0.8781 0.2787 x1  2 Ga 2.45-2.46, 1 Cd 2.68

## Properties
Electronic total energy in eV per atom: -3.613


Look up the electronic total energy of the seventh one. -9.032 eV per atom